Entry 1:
## Nd4Rh2O (PBE)

Data for a geometry-optimized Nd4Rh2O structure. Values from VASP.

Quantum ESPRESSO input file:
```
&SYSTEM
  ibrav = 0, nat = 7, ntyp = 3
/
ATOMIC_SPECIES
Nd 144.24 Nd.upf
Rh 102.91 Rh.upf
O 16.00 O.upf
CELL_PARAMETERS angstrom
-2.404 2.404 7.327
2.404 -2.404 7.327
2.404 2.404 -7.327
ATOMIC_POSITIONS crystal
Nd 0.000 0.500 0.500
Nd 0.188 0.188 0.000
Nd 0.500 0.000 0.500
Nd 0.812 0.812 0.000
Rh 0.372 0.372 0.000
Rh 0.628 0.628 0.000
O 0.000 0.000 0.000
```

Output
total DFT energy (no corrections) = -6.643 eV per atom

***

Entry 2:
## Nd6RhO12 (PBE)

Data for a geometry-optimized Nd6RhO12 structure. Values from VASP.

Quantum ESPRESSO input file:
```
&SYSTEM
  ibrav = 0, nat = 19, ntyp = 3
/
ATOMIC_SPECIES
Nd 144.24 Nd.upf
Rh 102.91 Rh.upf
O 16.00 O.upf
CELL_PARAMETERS angstrom
5.089 2.938 3.262
-5.089 2.938 3.262
0.000 -5.876 3.262
ATOMIC_POSITIONS crystal
Nd 0.112 0.808 0.644
Nd 0.192 0.356 0.888
Nd 0.356 0.888 0.192
Nd 0.644 0.112 0.808
Nd 0.808 0.644 0.112
Nd 0.888 0.192 0.356
Rh 0.500 0.500 0.500
O 0.059 0.908 0.322
O 0.092 0.678 0.941
O 0.208 0.434 0.533
O 0.322 0.059 0.908
O 0.434 0.533 0.208
O 0.467 0.792 0.566
O 0.533 0.208 0.434
O 0.566 0.467 0.792
O 0.678 0.941 0.092
O 0.792 0.566 0.467
O 0.908 0.322 0.059
O 0.941 0.092 0.678
```

Output
total DFT energy (no corrections) = -7.787 eV per atom

***

Entry 3:
## Nd2RhO (PBE)

Data for a geometry-optimized Nd2RhO structure. Values from VASP.

Quantum ESPRESSO input file:
```
&SYSTEM
  ibrav = 0, nat = 4, ntyp = 3
/
ATOMIC_SPECIES
Nd 144.24 Nd.upf
Rh 102.91 Rh.upf
O 16.00 O.upf
CELL_PARAMETERS angstrom
1.891 1.092 6.721
-1.891 1.092 6.721
0.000 -2.184 6.721
ATOMIC_POSITIONS crystal
Nd 0.241 0.241 0.241
Nd 0.759 0.759 0.759
Rh 0.000 0.000 0.000
O 0.500 0.500 0.500
```

Output
polymorph energy (0 for the lowest one) = 0.0 meV per atom

***

Entry 4:
## Nd3RhO6 (PBE)

Data for a geometry-optimized Nd3RhO6 structure. Values from VASP.

Quantum ESPRESSO input file:
```
&SYSTEM
  ibrav = 0, nat = 20, ntyp = 3
/
ATOMIC_SPECIES
Nd 144.24 Nd.upf
Rh 102.91 Rh.upf
O 16.00 O.upf
CELL_PARAMETERS angstrom
5.042 2.911 3.427
-5.042 2.911 3.427
0.000 -5.822 3.427
ATOMIC_POSITIONS crystal
Nd 0.087 0.598 0.772
Nd 0.228 0.913 0.402
Nd 0.402 0.228 0.913
Nd 0.598 0.772 0.087
Nd 0.772 0.087 0.598
Nd 0.913 0.402 0.228
Rh 0.000 0.000 0.000
Rh 0.500 0.500 0.500
O 0.066 0.931 0.705
O 0.069 0.295 0.934
O 0.197 0.565 0.439
O 0.295 0.934 0.069
O 0.435 0.561 0.803
O 0.439 0.197 0.565
O 0.561 0.803 0.435
O 0.565 0.439 0.197
O 0.705 0.066 0.931
O 0.803 0.435 0.561
O 0.931 0.705 0.066
O 0.934 0.069 0.295
```

Output
total DFT energy (no corrections) = -7.817 eV per atom